KNb2OsAu: optimized geometry, PBE-GGA.

Unit cell a=4.582 b=4.582 c=4.565 alpha=90.00 beta=90.00 gamma=90.00
Fractional coordinates of all 5 atoms:
1 K 0.000 0.000 0.000
2 Nb 0.000 0.500 0.000
3 Nb 0.500 0.000 0.000
4 Os 0.000 0.000 0.500
5 Au 0.500 0.500 0.500

Properties
calculated density: 10606 kg/m³
formation enthalpy at 0 K: 2.753 eV per atom
E_tot: -0.1615 hartree per atom
magnetic moment: 0.000 μB/f.u.

---

K2NbAuS4: optimized geometry, PBE-GGA.

Unit cell a=6.457 b=6.457 c=7.229 alpha=115.63 beta=115.63 gamma=78.84
Fractional coordinates of all 8 atoms:
1 K 0.000 0.000 0.000
2 K 0.737 0.263 0.500
3 Nb 0.494 0.506 0.000
4 Au 0.325 0.675 0.500
5 S 0.193 0.528 0.671
6 S 0.470 0.156 0.986
7 S 0.472 0.807 0.329
8 S 0.844 0.530 0.014

Properties
calculated density: 3364 kg/m³
E_tot: -0.1812 hartree per atom
magnetic moment: 0.000 μB/f.u.
ΔE_f (raw): -924 meV per atom

---

KNb2SnAu: optimized geometry, PBE-GGA.

Unit cell a=5.310 b=5.310 c=6.096 alpha=90.00 beta=90.00 gamma=90.00
Fractional coordinates of all 5 atoms:
1 K 0.000 0.000 0.000
2 Nb 0.000 0.500 0.500
3 Nb 0.500 0.000 0.500
4 Sn 0.000 0.000 0.500
5 Au 0.500 0.500 0.000

Properties
calculated density: 5222 kg/m³
formation enthalpy at 0 K: 1.464 eV per atom
E_tot: -0.1558 hartree per atom
magnetic moment: 5.446 μB/f.u.

---

Which value of calculated density does entry 2 give? 3364 kg/m³

---

What is the formula in the third record? KNb2SnAu

---

calculated density of number 1 (KNb2OsAu)? 10606 kg/m³